No. 1
# SrSc2Tl2, relaxed, DFT PBE
# ΔE to the lowest computed polymorph = 0.022 eV per atom
# Density = 7.0 Mg/m³
# Calculated formation energy = -18.0 kJ/mol of atoms
data_SrSc2Tl2
_cell_length_a 9.008
_cell_length_b 9.008
_cell_length_c 3.437
_cell_angle_alpha 90.00
_cell_angle_beta 90.00
_cell_angle_gamma 90.00
_symmetry_space_group_name_H-M 'P 4/m b m'
_symmetry_Int_Tables_number 127
_symmetry_space_group_name_Hall '-P 4 2ab'
loop_
_atom_site_label
_atom_site_type_symbol
_atom_site_fract_x
_atom_site_fract_y
_atom_site_fract_z
_atom_site_occupancy
Sr1 Sr 0.000 0.000 0.000 1
Sc1 Sc 0.133 0.367 0.500 1
Tl1 Tl 0.166 0.666 0.000 1



No. 2
# SrScTl, relaxed, DFT PBE
# Density = 5.8 Mg/m³
# Calculated formation energy = -27.2 kJ/mol of atoms
data_SrScTl
_cell_length_a 5.013
_cell_length_b 5.013
_cell_length_c 7.692
_cell_angle_alpha 90.00
_cell_angle_beta 90.00
_cell_angle_gamma 90.00
_symmetry_space_group_name_H-M 'P 4/n m m'
_symmetry_Int_Tables_number 129
loop_
_symmetry_equiv_pos_as_xyz
'x,y,z'
'-x,-y,-z'
'-y+1/2,x,z'
'y+1/2,-x,-z'
'-x+1/2,-y+1/2,z'
'x+1/2,y+1/2,-z'
'y,-x+1/2,z'
'-y,x+1/2,-z'
'x+1/2,-y,-z'
'-x+1/2,y,z'
'-y,-x,-z'
'y,x,z'
'-x,y+1/2,-z'
'x,-y+1/2,z'
'y+1/2,x+1/2,-z'
'-y+1/2,-x+1/2,z'
loop_
_atom_site_label
_atom_site_type_symbol
_atom_site_fract_x
_atom_site_fract_y
_atom_site_fract_z
_atom_site_occupancy
Sr1 Sr 0.250 0.250 0.148 1
Sc1 Sc 0.250 0.750 0.500 1
Tl1 Tl 0.250 0.250 0.709 1